No. 1
Na4ScPa3N8 | PBE | optimized geometry

E_tot: -7.697 eV per atom
energy relative to the elements, uncorrected: -1028 meV/atom
symmetry: No. 166

Lattice parameters (Å, degrees): 6.9961 6.9779 6.9977 120.09 119.99 90.00
Positions (direct):
Na1 0.5000 0.0000 0.0000
Na2 0.5000 0.0000 0.5000
Na3 0.0000 0.0000 0.0000
Na4 0.0000 0.0000 0.5000
Sc1 0.0000 0.5000 0.0000
Pa1 0.5000 0.5000 0.0000
Pa2 0.5000 0.5000 0.5000
Pa3 0.0000 0.5000 0.5000
N1 0.2303 0.6857 0.9557
N2 0.2302 0.6857 0.4604
N3 0.2690 0.3073 0.5380
N4 0.7254 0.6857 0.9557
N5 0.2746 0.3143 0.0443
N6 0.7310 0.6927 0.4620
N7 0.7698 0.3143 0.5396
N8 0.7697 0.3143 0.0443

---

No. 2
NaPaSeN | PBE | optimized geometry

E_tot: -7.101 eV per atom
energy relative to the elements, uncorrected: -1445 meV/atom
symmetry: No. 166

Lattice parameters (Å, degrees): 3.9412 3.9412 13.8613 81.83 81.83 60.00
Positions (direct):
Na1 0.7930 0.7930 0.6209
Na2 0.2070 0.2070 0.3791
Pa1 0.6324 0.6324 0.1029
Pa2 0.3676 0.3676 0.8971
Se1 0.0812 0.0812 0.7563
Se2 0.9188 0.9188 0.2437
N1 0.6869 0.6869 0.9393
N2 0.3131 0.3131 0.0607

---

No. 3
Na4Pa3SiN8 | PBE | optimized geometry

E_tot: -7.443 eV per atom
energy relative to the elements, uncorrected: -831 meV/atom
symmetry: No. 12

Lattice parameters (Å, degrees): 6.5843 6.8238 7.0837 117.92 117.69 90.00
Positions (direct):
Na1 0.5000 0.0000 0.0000
Na2 0.5000 0.0000 0.5000
Na3 0.0000 0.0000 0.0000
Na4 0.0000 0.0000 0.5000
Pa1 0.5000 0.5000 0.0000
Pa2 0.5000 0.5000 0.5000
Pa3 0.0000 0.5000 0.5000
Si1 0.0000 0.5000 0.0000
N1 0.1811 0.6600 0.9479
N2 0.2793 0.7336 0.5587
N3 0.2863 0.3121 0.5725
N4 0.7668 0.6600 0.9479
N5 0.2332 0.3400 0.0521
N6 0.7137 0.6879 0.4275
N7 0.7207 0.2664 0.4413
N8 0.8189 0.3400 0.0521

---

No. 4
Na2PaSiN4 | PBE | optimized geometry

E_tot: -6.907 eV per atom
energy relative to the elements, uncorrected: -550 meV/atom
symmetry: No. 10

Lattice parameters (Å, degrees): 3.4364 5.2817 5.9449 105.41 90.00 90.00
Positions (direct):
Na1 0.5000 0.0000 0.5000
Na2 0.0000 0.5000 0.5000
Pa1 0.5000 0.5000 0.0000
Si1 0.0000 0.0000 0.0000
N1 0.5000 0.2214 0.1921
N2 0.5000 0.7786 0.8079
N3 0.0000 0.2199 0.8184
N4 0.0000 0.7801 0.1816

---

No. 5
NaSmPa2N5 | PBE | optimized geometry

E_tot: -8.396 eV per atom
energy relative to the elements, uncorrected: -990 meV/atom
symmetry: No. 140

Lattice parameters (Å, degrees): 6.6944 6.6944 7.9266 114.98 114.98 90.00
Positions (direct):
Na1 0.2500 0.2500 0.5000
Na2 0.7500 0.7500 0.5000
Sm1 0.2500 0.7500 0.5000
Sm2 0.7500 0.2500 0.5000
Pa1 0.1716 0.3284 0.0000
Pa2 0.6716 0.1716 0.0000
Pa3 0.3284 0.8284 0.0000
Pa4 0.8284 0.6716 0.0000
N1 0.9559 0.4559 0.2252
N2 0.7307 0.2307 0.7748
N3 0.0441 0.5441 0.7748
N4 0.2307 0.0441 0.7748
N5 0.5441 0.7307 0.7748
N6 0.7693 0.9559 0.2252
N7 0.4559 0.2693 0.2252
N8 0.2693 0.7693 0.2252
N9 0.5000 0.5000 0.0000
N10 0.0000 0.0000 0.0000

---

No. 6
Na3SmPa2N6 | PBE | optimized geometry

E_tot: -7.385 eV per atom
energy relative to the elements, uncorrected: -917 meV/atom
symmetry: No. 12

Lattice parameters (Å, degrees): 6.2584 6.2584 6.0272 98.57 98.57 122.05
Positions (direct):
Na1 0.1678 0.8322 0.5000
Na2 0.8322 0.1678 0.5000
Na3 0.5000 0.5000 0.5000
Sm1 0.0000 0.0000 0.0000
Pa1 0.3365 0.6635 0.0000
Pa2 0.6635 0.3365 0.0000
N1 0.9194 0.5735 0.8084
N2 0.7137 0.7137 0.1945
N3 0.0806 0.4265 0.1916
N4 0.5735 0.9194 0.8084
N5 0.2863 0.2863 0.8055
N6 0.4265 0.0806 0.1916

---

No. 7
Na3Pa2SnN6 | PBE | optimized geometry

E_tot: -7.065 eV per atom
energy relative to the elements, uncorrected: -657 meV/atom
symmetry: No. 12

Lattice parameters (Å, degrees): 6.0444 6.0444 6.0773 98.30 98.30 122.02
Positions (direct):
Na1 0.1588 0.8412 0.5000
Na2 0.8412 0.1588 0.5000
Na3 0.5000 0.5000 0.5000
Pa1 0.3351 0.6649 0.0000
Pa2 0.6649 0.3351 0.0000
Sn1 0.0000 0.0000 0.0000
N1 0.9296 0.5943 0.8045
N2 0.7350 0.7350 0.1991
N3 0.0704 0.4057 0.1955
N4 0.5943 0.9296 0.8045
N5 0.2650 0.2650 0.8009
N6 0.4057 0.0704 0.1955

---

No. 8
Na2PaSnN4 | PBE | optimized geometry

E_tot: -6.595 eV per atom
energy relative to the elements, uncorrected: -415 meV/atom
symmetry: No. 10

Lattice parameters (Å, degrees): 3.4390 6.1671 5.7405 71.15 90.00 90.00
Positions (direct):
Na1 0.0000 0.0000 0.0000
Na2 0.5000 0.0000 0.5000
Pa1 0.0000 0.5000 0.5000
Sn1 0.5000 0.5000 0.0000
N1 0.0000 0.6992 0.7733
N2 0.0000 0.3008 0.2267
N3 0.5000 0.7015 0.2770
N4 0.5000 0.2985 0.7230

---

No. 9
Na3Pa3SnN8 | PBE | optimized geometry

E_tot: -7.537 eV per atom
energy relative to the elements, uncorrected: -667 meV/atom
symmetry: No. 12

Lattice parameters (Å, degrees): 6.8851 7.0198 7.0015 119.66 90.00 119.37
Positions (direct):
Na1 0.0000 0.0000 0.0000
Na2 0.0000 0.5000 0.0000
Na3 0.5000 0.5000 0.0000
Pa1 0.5000 0.0000 0.5000
Pa2 0.5000 0.5000 0.5000
Pa3 0.0000 0.5000 0.5000
Sn1 0.0000 0.0000 0.5000
N1 0.2706 0.5412 0.3156
N2 0.7294 0.4588 0.6844
N3 0.7700 0.5399 0.3152
N4 0.2300 0.4601 0.6848
N5 0.7675 0.0318 0.3103
N6 0.2325 0.9682 0.6897
N7 0.2643 0.0318 0.3103
N8 0.7357 0.9682 0.6897

---

No. 10
Na4Pa3SnN8 | PBE | optimized geometry

E_tot: -7.317 eV per atom
energy relative to the elements, uncorrected: -794 meV/atom
symmetry: No. 12

Lattice parameters (Å, degrees): 6.9835 7.0256 6.9924 119.81 119.96 90.00
Positions (direct):
Na1 0.5000 0.0000 0.0000
Na2 0.5000 0.0000 0.5000
Na3 0.0000 0.0000 0.0000
Na4 0.0000 0.0000 0.5000
Pa1 0.5000 0.5000 0.0000
Pa2 0.5000 0.5000 0.5000
Pa3 0.0000 0.5000 0.5000
Sn1 0.0000 0.5000 0.0000
N1 0.2331 0.6952 0.9623
N2 0.2337 0.6955 0.4673
N3 0.2727 0.3181 0.5454
N4 0.7291 0.6952 0.9623
N5 0.2709 0.3048 0.0377
N6 0.7273 0.6819 0.4546
N7 0.7663 0.3045 0.5327
N8 0.7669 0.3048 0.0377

---

No. 11
NaSr3Pa2N6 | PBE | optimized geometry

E_tot: -7.332 eV per atom
energy relative to the elements, uncorrected: -1057 meV/atom
symmetry: No. 12

Lattice parameters (Å, degrees): 3.7059 7.4149 7.8507 104.43 103.65 90.00
Positions (direct):
Na1 0.5000 0.0000 0.0000
Sr1 0.5000 0.5000 0.0000
Sr2 0.8434 0.1613 0.6868
Sr3 0.1566 0.8387 0.3132
Pa1 0.8336 0.6791 0.6671
Pa2 0.1664 0.3209 0.3329
N1 0.3272 0.8751 0.6543
N2 0.6829 0.5617 0.3658
N3 0.6728 0.1249 0.3457
N4 0.0263 0.2748 0.0526
N5 0.9737 0.7252 0.9474
N6 0.3171 0.4383 0.6342

---

No. 12
NaPaTa4N8 | PBE | optimized geometry

E_tot: -9.868 eV per atom
energy relative to the elements, uncorrected: -952 meV/atom
symmetry: No. 160

Lattice parameters (Å, degrees): 6.3931 6.3931 6.3484 59.77 59.77 60.00
Positions (direct):
Na1 0.9927 0.9927 0.0219
Pa1 0.4008 0.4008 0.7975
Ta1 0.6231 0.6231 0.1307
Ta2 0.0054 0.4906 0.4986
Ta3 0.4906 0.0054 0.4986
Ta4 0.0054 0.0054 0.4986
N1 0.2403 0.8017 0.7177
N2 0.8017 0.2403 0.7177
N3 0.2403 0.2403 0.7177
N4 0.2446 0.2446 0.2663
N5 0.7262 0.2487 0.2988
N6 0.2487 0.7262 0.2988
N7 0.7262 0.7262 0.2988
N8 0.7539 0.7539 0.7384

---

No. 13
NaPa2Ta3N6 | PBE | optimized geometry

E_tot: -10.038 eV per atom
energy relative to the elements, uncorrected: -1220 meV/atom
symmetry: No. 12

Lattice parameters (Å, degrees): 3.2535 6.5838 7.3341 104.99 102.81 90.00
Positions (direct):
Na1 0.5000 0.0000 0.0000
Pa1 0.8374 0.6751 0.6747
Pa2 0.1626 0.3249 0.3253
Ta1 0.5000 0.5000 0.0000
Ta2 0.8371 0.1805 0.6742
Ta3 0.1629 0.8195 0.3258
N1 0.3288 0.9401 0.6577
N2 0.6591 0.5964 0.3181
N3 0.6712 0.0599 0.3423
N4 0.9952 0.2710 0.9905
N5 0.0048 0.7290 0.0095
N6 0.3409 0.4036 0.6819

---

No. 14
Na4Pa3TaN8 | PBE | optimized geometry

E_tot: -8.140 eV per atom
energy relative to the elements, uncorrected: -1127 meV/atom
symmetry: No. 166

Lattice parameters (Å, degrees): 6.9420 6.9718 6.9423 119.86 120.00 90.00
Positions (direct):
Na1 0.5000 0.0000 0.0000
Na2 0.5000 0.0000 0.5000
Na3 0.0000 0.0000 0.0000
Na4 0.0000 0.0000 0.5000
Pa1 0.5000 0.5000 0.0000
Pa2 0.5000 0.5000 0.5000
Pa3 0.0000 0.5000 0.5000
Ta1 0.0000 0.5000 0.0000
N1 0.2202 0.6853 0.9652
N2 0.2202 0.6853 0.4403
N3 0.2711 0.3133 0.5422
N4 0.7450 0.6853 0.9652
N5 0.2550 0.3147 0.0348
N6 0.7289 0.6867 0.4578
N7 0.7798 0.3147 0.5597
N8 0.7798 0.3147 0.0348

---

No. 15
Na3Pa2TaN6 | PBE | optimized geometry

E_tot: -8.173 eV per atom
energy relative to the elements, uncorrected: -1110 meV/atom
symmetry: No. 12

Lattice parameters (Å, degrees): 5.9429 5.9429 6.0339 99.27 99.27 120.07
Positions (direct):
Na1 0.1572 0.8428 0.5000
Na2 0.8428 0.1572 0.5000
Na3 0.5000 0.5000 0.5000
Pa1 0.3331 0.6669 0.0000
Pa2 0.6669 0.3331 0.0000
Ta1 0.0000 0.0000 0.0000
N1 0.9385 0.6228 0.8131
N2 0.7447 0.7447 0.1862
N3 0.0615 0.3772 0.1869
N4 0.6228 0.9385 0.8131
N5 0.2553 0.2553 0.8138
N6 0.3772 0.0615 0.1869

---

No. 16
NaTbPa4N8 | PBE | optimized geometry

E_tot: -9.307 eV per atom
energy relative to the elements, uncorrected: -1411 meV/atom
symmetry: No. 160

Lattice parameters (Å, degrees): 7.0939 7.0939 6.6597 57.82 57.82 60.00
Positions (direct):
Na1 0.0017 0.0017 0.9950
Tb1 0.3781 0.3781 0.8656
Pa1 0.5979 0.5979 0.2062
Pa2 0.9974 0.4977 0.5075
Pa3 0.4977 0.9974 0.5075
Pa4 0.9974 0.9974 0.5075
N1 0.2706 0.7792 0.6797
N2 0.7792 0.2706 0.6797
N3 0.2706 0.2706 0.6797
N4 0.2334 0.2334 0.2999
N5 0.7507 0.2239 0.2746
N6 0.2239 0.7507 0.2746
N7 0.7507 0.7507 0.2746
N8 0.7507 0.7507 0.7478

---

No. 17
NaTb3Pa2N6 | PBE | optimized geometry

E_tot: -8.472 eV per atom
energy relative to the elements, uncorrected: -1459 meV/atom
symmetry: No. 12

Lattice parameters (Å, degrees): 3.5279 7.0736 7.6784 103.68 103.28 90.00
Positions (direct):
Na1 0.5000 0.0000 0.0000
Tb1 0.5000 0.5000 0.0000
Tb2 0.8385 0.1630 0.6771
Tb3 0.1615 0.8370 0.3229
Pa1 0.8376 0.6767 0.6752
Pa2 0.1624 0.3233 0.3248
N1 0.3272 0.9005 0.6544
N2 0.6705 0.5799 0.3410
N3 0.6728 0.0995 0.3456
N4 0.0133 0.2777 0.0266
N5 0.9867 0.7223 0.9734
N6 0.3295 0.4201 0.6590

---

No. 18
Na4TbPa3N8 | PBE | optimized geometry

E_tot: -7.587 eV per atom
energy relative to the elements, uncorrected: -1025 meV/atom
symmetry: No. 12

Lattice parameters (Å, degrees): 7.1106 7.0289 7.1213 120.40 119.95 90.00
Positions (direct):
Na1 0.5000 0.0000 0.0000
Na2 0.5000 0.0000 0.5000
Na3 0.0000 0.0000 0.0000
Na4 0.0000 0.0000 0.5000
Tb1 0.0000 0.5000 0.0000
Pa1 0.5000 0.5000 0.0000
Pa2 0.5000 0.5000 0.5000
Pa3 0.0000 0.5000 0.5000
N1 0.2370 0.6867 0.9512
N2 0.2362 0.6868 0.4724
N3 0.2686 0.3076 0.5371
N4 0.7143 0.6867 0.9512
N5 0.2857 0.3133 0.0488
N6 0.7314 0.6924 0.4629
N7 0.7638 0.3132 0.5276
N8 0.7630 0.3133 0.0488

---

No. 19
Na3TbPa2N6 | PBE | optimized geometry

E_tot: -7.405 eV per atom
energy relative to the elements, uncorrected: -944 meV/atom
symmetry: No. 12

Lattice parameters (Å, degrees): 6.2114 6.2114 6.0123 98.67 98.67 121.91
Positions (direct):
Na1 0.1652 0.8348 0.5000
Na2 0.8348 0.1652 0.5000
Na3 0.5000 0.5000 0.5000
Tb1 0.0000 0.0000 0.0000
Pa1 0.3363 0.6637 0.0000
Pa2 0.6637 0.3363 0.0000
N1 0.9218 0.5798 0.8096
N2 0.7179 0.7179 0.1937
N3 0.0782 0.4202 0.1904
N4 0.5798 0.9218 0.8096
N5 0.2821 0.2821 0.8063
N6 0.4202 0.0782 0.1904